The following is a PBE calculation of crystalline K4Hg16Pd3 at its relaxed geometry, from the Alexandria database.

Unit cell a=7.0204 b=7.0204 c=12.9432 alpha=90.00 beta=90.00 gamma=90.00
With the nearest neighbours (Å) after each atom.
Atoms (fractional coordinates):
K  0.0000  0.5000  0.1931  12 Hg 3.49-3.53
K  0.0000  0.5000  0.8069  12 Hg 3.49-3.53
K  0.5000  0.0000  0.1931  12 Hg 3.49-3.53
K  0.5000  0.0000  0.8069  12 Hg 3.49-3.53
Hg  0.0000  0.0000  0.2174  1 Pd 2.81
Hg  0.0000  0.0000  0.7826  1 Pd 2.81
Hg  0.2486  0.2486  0.3829  2 Pd 2.91, 1 Hg 3.03
Hg  0.2486  0.2486  0.6171  2 Pd 2.91, 1 Hg 3.03
Hg  0.2486  0.7514  0.3829  2 Pd 2.91, 1 Hg 3.03
Hg  0.2486  0.7514  0.6171  2 Pd 2.91, 1 Hg 3.03
Hg  0.2793  0.2793  0.0000  1 Pd 2.77, 2 Hg 3.10
Hg  0.2793  0.7207  0.0000  1 Pd 2.77, 2 Hg 3.10
Hg  0.5000  0.5000  0.2186  8 Hg 3.28-3.58, 4 K 3.53
Hg  0.5000  0.5000  0.7814  8 Hg 3.28-3.58, 4 K 3.53
Hg  0.7207  0.2793  0.0000  1 Pd 2.77, 2 Hg 3.10
Hg  0.7207  0.7207  0.0000  1 Pd 2.77, 2 Hg 3.10
Hg  0.7514  0.2486  0.3829  2 Pd 2.91, 1 Hg 3.03
Hg  0.7514  0.2486  0.6171  2 Pd 2.91, 1 Hg 3.03
Hg  0.7514  0.7514  0.3829  2 Pd 2.91, 1 Hg 3.03
Hg  0.7514  0.7514  0.6171  2 Pd 2.91, 1 Hg 3.03
Pd  0.0000  0.0000  0.0000  6 Hg 2.77-2.81
Pd  0.0000  0.5000  0.5000  8 Hg 2.91
Pd  0.5000  0.0000  0.5000  8 Hg 2.91

Summary:
Uncorrected energy   -1.250 eV/atom
Formation energy from the elements   -0.1719 eV per atom
N(E_F)   7.12 states/eV/cell
Magnetic moment   0.0 μB per formula unit